No. 1
Density functional theory data (PBE) for a relaxed Na3ThPb12 crystal.

SG: No. 123

abc: 4.8524 4.8524 20.2007
angles: 90.00 90.00 90.00
Closest atoms and distances in Å follow each position.
Sites, in units of the cell vectors:
1 Na 0.0000 0.0000 0.0000  12 Pb 3.43-3.49
2 Na 0.0000 0.0000 0.2501  12 Pb 3.43-3.52
3 Na 0.0000 0.0000 0.7499  12 Pb 3.43-3.52
4 Th 0.0000 0.0000 0.5000  12 Pb 3.43-3.54
5 Pb 0.0000 0.5000 0.1240  8 Pb 3.43-3.49, 4 Na 3.49-3.52
6 Pb 0.0000 0.5000 0.3723  8 Pb 3.43-3.54, 2 Na 3.46, 2 Th 3.54
7 Pb 0.0000 0.5000 0.6277  8 Pb 3.43-3.54, 2 Na 3.46, 2 Th 3.54
8 Pb 0.0000 0.5000 0.8760  8 Pb 3.43-3.49, 4 Na 3.49-3.52
9 Pb 0.5000 0.0000 0.1240  8 Pb 3.43-3.49, 4 Na 3.49-3.52
10 Pb 0.5000 0.0000 0.3723  8 Pb 3.43-3.54, 2 Na 3.46, 2 Th 3.54
11 Pb 0.5000 0.0000 0.6277  8 Pb 3.43-3.54, 2 Na 3.46, 2 Th 3.54
12 Pb 0.5000 0.0000 0.8760  8 Pb 3.43-3.49, 4 Na 3.49-3.52
13 Pb 0.5000 0.5000 0.0000  4 Na 3.43, 8 Pb 3.49
14 Pb 0.5000 0.5000 0.2472  4 Na 3.43, 8 Pb 3.48-3.50
15 Pb 0.5000 0.5000 0.5000  4 Th 3.43, 8 Pb 3.54
16 Pb 0.5000 0.5000 0.7528  4 Na 3.43, 8 Pb 3.48-3.50

=====

No. 2
Density functional theory data (PBE) for a relaxed NaTh2Pb9 crystal.

SG: No. 123

abc: 4.8795 4.8795 14.9721
angles: 90.00 90.00 90.00
Closest atoms and distances in Å follow each position.
Sites, in units of the cell vectors:
1 Na 0.0000 0.0000 0.0000  12 Pb 3.45-3.46
2 Th 0.0000 0.0000 0.3417  12 Pb 3.40-3.61
3 Th 0.0000 0.0000 0.6583  12 Pb 3.40-3.61
4 Pb 0.0000 0.5000 0.1638  8 Pb 3.45-3.50, 2 Na 3.46, 2 Th 3.61
5 Pb 0.0000 0.5000 0.5000  4 Th 3.40, 8 Pb 3.45-3.51
6 Pb 0.0000 0.5000 0.8362  8 Pb 3.45-3.50, 2 Na 3.46, 2 Th 3.61
7 Pb 0.5000 0.0000 0.1638  8 Pb 3.45-3.50, 2 Na 3.46, 2 Th 3.61
8 Pb 0.5000 0.0000 0.5000  4 Th 3.40, 8 Pb 3.45-3.51
9 Pb 0.5000 0.0000 0.8362  8 Pb 3.45-3.50, 2 Na 3.46, 2 Th 3.61
10 Pb 0.5000 0.5000 0.0000  4 Na 3.45, 8 Pb 3.46
11 Pb 0.5000 0.5000 0.3315  4 Th 3.45, 8 Pb 3.50-3.51
12 Pb 0.5000 0.5000 0.6685  4 Th 3.45, 8 Pb 3.50-3.51

=====

No. 3
Density functional theory data (PBE) for a relaxed NaTh3Pb12 crystal.

SG: No. 123

abc: 4.9086 4.9086 19.6814
angles: 90.00 90.00 90.00
Closest atoms and distances in Å follow each position.
Sites, in units of the cell vectors:
1 Na 0.0000 0.0000 0.0000  12 Pb 3.45-3.47
2 Th 0.0000 0.0000 0.2554  12 Pb 3.42-3.58
3 Th 0.0000 0.0000 0.5000  12 Pb 3.46-3.47
4 Th 0.0000 0.0000 0.7446  12 Pb 3.42-3.58
5 Pb 0.0000 0.5000 0.1232  8 Pb 3.45-3.48, 2 Na 3.45, 2 Th 3.58
6 Pb 0.0000 0.5000 0.3763  4 Th 3.42-3.46, 8 Pb 3.46-3.51
7 Pb 0.0000 0.5000 0.6237  4 Th 3.42-3.46, 8 Pb 3.46-3.51
8 Pb 0.0000 0.5000 0.8768  8 Pb 3.45-3.48, 2 Na 3.45, 2 Th 3.58
9 Pb 0.5000 0.0000 0.1232  8 Pb 3.45-3.48, 2 Na 3.45, 2 Th 3.58
10 Pb 0.5000 0.0000 0.3763  4 Th 3.42-3.46, 8 Pb 3.46-3.51
11 Pb 0.5000 0.0000 0.6237  4 Th 3.42-3.46, 8 Pb 3.46-3.51
12 Pb 0.5000 0.0000 0.8768  8 Pb 3.45-3.48, 2 Na 3.45, 2 Th 3.58
13 Pb 0.5000 0.5000 0.0000  8 Pb 3.45, 4 Na 3.47
14 Pb 0.5000 0.5000 0.2488  4 Th 3.47, 8 Pb 3.48-3.51
15 Pb 0.5000 0.5000 0.5000  8 Pb 3.46, 4 Th 3.47
16 Pb 0.5000 0.5000 0.7512  4 Th 3.47, 8 Pb 3.48-3.51

=====

No. 4
Density functional theory data (PBE) for a relaxed Na3ThPb6 crystal.

SG: No. 11

abc: 10.9899 4.8491 11.0822
angles: 90.00 91.65 90.00
Closest atoms and distances in Å follow each position.
Sites, in units of the cell vectors:
1 Na 0.0541 0.2500 0.4037  8 Pb 3.40-3.58, 4 Na 3.46-3.49
2 Na 0.1532 0.7500 0.2025  8 Pb 3.40-3.55, 4 Na 3.46-3.49
3 Na 0.2480 0.2500 0.0037  10 Pb 3.38-3.53, 2 Na 3.46
4 Na 0.7520 0.7500 0.9963  10 Pb 3.38-3.53, 2 Na 3.46
5 Na 0.8468 0.2500 0.7975  8 Pb 3.40-3.55, 4 Na 3.46-3.49
6 Na 0.9459 0.7500 0.5963  8 Pb 3.40-3.58, 4 Na 3.46-3.49
7 Th 0.4399 0.2500 0.6165  10 Pb 3.36-3.63
8 Th 0.5601 0.7500 0.3835  10 Pb 3.36-3.63
9 Pb 0.0456 0.7500 0.8991  5 Pb 3.34-3.47, 7 Na 3.43-3.53
10 Pb 0.1403 0.2500 0.7069  6 Pb 3.40-3.61, 5 Na 3.41-3.46, 1 Th 3.47
11 Pb 0.2530 0.7500 0.4959  5 Pb 3.38-3.61, 4 Na 3.40-3.58, 3 Th 3.42-3.63
12 Pb 0.3335 0.7500 0.8116  7 Pb 3.34-3.58, 2 Na 3.38, 2 Th 3.47
13 Pb 0.3486 0.2500 0.3088  5 Pb 3.38-3.78, 4 Na 3.43-3.53, 3 Th 3.44-3.53
14 Pb 0.4542 0.7500 0.0958  1 Th 3.36, 7 Pb 3.38-3.60, 4 Na 3.45-3.55
15 Pb 0.5458 0.2500 0.9042  1 Th 3.36, 7 Pb 3.38-3.60, 4 Na 3.45-3.55
16 Pb 0.6514 0.7500 0.6912  5 Pb 3.38-3.78, 4 Na 3.43-3.53, 3 Th 3.44-3.53
17 Pb 0.6665 0.2500 0.1884  7 Pb 3.34-3.58, 2 Na 3.38, 2 Th 3.47
18 Pb 0.7470 0.2500 0.5041  5 Pb 3.38-3.61, 4 Na 3.40-3.58, 3 Th 3.42-3.63
19 Pb 0.8597 0.7500 0.2931  6 Pb 3.40-3.61, 5 Na 3.41-3.46, 1 Th 3.47
20 Pb 0.9544 0.2500 0.1009  5 Pb 3.34-3.47, 7 Na 3.43-3.53

=====

No. 5
Density functional theory data (PBE) for a relaxed Na2ThPb9 crystal.

SG: No. 123

abc: 4.8545 4.8545 15.1336
angles: 90.00 90.00 90.00
Closest atoms and distances in Å follow each position.
Sites, in units of the cell vectors:
1 Na 0.0000 0.0000 0.1674  12 Pb 3.43-3.51
2 Na 0.0000 0.0000 0.8326  12 Pb 3.43-3.51
3 Th 0.0000 0.0000 0.5000  12 Pb 3.43-3.54
4 Pb 0.0000 0.5000 0.0000  8 Pb 3.43-3.46, 4 Na 3.51
5 Pb 0.0000 0.5000 0.3300  8 Pb 3.43-3.54, 2 Na 3.46, 2 Th 3.54
6 Pb 0.0000 0.5000 0.6700  8 Pb 3.43-3.54, 2 Na 3.46, 2 Th 3.54
7 Pb 0.5000 0.0000 0.0000  8 Pb 3.43-3.46, 4 Na 3.51
8 Pb 0.5000 0.0000 0.3300  8 Pb 3.43-3.54, 2 Na 3.46, 2 Th 3.54
9 Pb 0.5000 0.0000 0.6700  8 Pb 3.43-3.54, 2 Na 3.46, 2 Th 3.54
10 Pb 0.5000 0.5000 0.1632  4 Na 3.43, 8 Pb 3.46-3.50
11 Pb 0.5000 0.5000 0.5000  4 Th 3.43, 8 Pb 3.54
12 Pb 0.5000 0.5000 0.8368  4 Na 3.43, 8 Pb 3.46-3.50

=====

No. 6
Density functional theory data (PBE) for a relaxed Na3TiPb crystal.

SG: No. 221
Excess energy over the best structure of this formula in the dataset, eV per atom: 0.000

abc: 5.6808 5.6808 5.6808
angles: 90.00 90.00 90.00
Closest atoms and distances in Å follow each position.
Sites, in units of the cell vectors:
1 Na 0.0000 0.0000 0.5000  2 Ti 2.84
2 Na 0.0000 0.5000 0.0000  2 Ti 2.84
3 Na 0.5000 0.0000 0.0000  2 Ti 2.84
4 Ti 0.0000 0.0000 0.0000  6 Na 2.84
5 Pb 0.5000 0.5000 0.5000  12 Na 4.02

=====

No. 7
Density functional theory data (PBE) for a relaxed NaTiPb crystal.

SG: No. 166

abc: 8.8395 8.8395 8.8395
angles: 30.69 30.69 30.69
Closest atoms and distances in Å follow each position.
Sites, in units of the cell vectors:
1 Na 0.1364 0.1364 0.1364  3 Pb 3.09, 3 Na 3.10
2 Na 0.8636 0.8636 0.8636  3 Pb 3.09, 3 Na 3.10
3 Ti 0.2966 0.2966 0.2966  4 Pb 2.88-2.89
4 Ti 0.7034 0.7034 0.7034  4 Pb 2.88-2.89
5 Pb 0.4105 0.4105 0.4105  4 Ti 2.88-2.89, 3 Na 3.09
6 Pb 0.5895 0.5895 0.5895  4 Ti 2.88-2.89, 3 Na 3.09

=====

No. 8
Density functional theory data (PBE) for a relaxed Na2TiPbW crystal.

SG: No. 123

abc: 5.7151 5.7151 4.7614
angles: 90.00 90.00 90.00
Closest atoms and distances in Å follow each position.
Sites, in units of the cell vectors:
1 Na 0.0000 0.5000 0.0000  2 W 2.86
2 Na 0.5000 0.0000 0.0000  2 W 2.86
3 Ti 0.0000 0.0000 0.5000  2 W 2.38
4 Pb 0.5000 0.5000 0.5000  8 Na 3.72, 4 Ti 4.04
5 W 0.0000 0.0000 0.0000  2 Ti 2.38

=====

| no. | calculated formation energy (eV/atom) |
| --- | --- |
| 1 | -0.141 |
| 2 | -0.188 |
| 3 | -0.199 |
| 4 | -0.154 |
| 5 | -0.150 |
| 6 | 1.008 |
| 7 | 0.251 |
| 8 | 1.301 |